# Pr2MgSn3Au4

Pr2MgSn3Au4 after structural relaxation (PBE, the Alexandria database).

a b c (Å): 4.576 4.576 11.481
angles (deg): 90.00 90.00 90.00
Space group P-4m2 (No. 115)
Symmetry-distinct sites (fractional):
Pr1 0.000 0.500 0.232 x2
Mg1 0.000 0.000 0.500 x1
Sn1 0.000 0.500 0.863 x2
Sn2 0.500 0.500 0.500 x1
Au1 0.000 0.000 0.000 x1
Au2 0.000 0.500 0.632 x2
Au3 0.500 0.500 0.000 x1

Output
As for the calculated formation energy: -622 meV/atom.